(1)
DFT (GGA-PBE) results for an optimized crystal structure of ZrIrPb2.

```
ZrIrPb2
1.0
-3.517 0.232 -2.875
-2.037 -0.942 2.416
-1.235 5.482 1.952
Ir Pb Zr
1 2 1
direct
0.500 0.750 0.750
0.000 0.924 0.990
0.000 0.576 0.510
0.500 0.250 0.250
```

Properties
DFT formation energy = 15.5 kJ per mole of atoms
Energy relative to the lowest polymorph listed for this composition = 221 meV per atom
Symmetry = P2/m



(2)
DFT (GGA-PBE) results for an optimized crystal structure of LaAlSi2.

```
LaAlSi2
1.0
-0.830 0.089 -3.422
-2.250 -2.671 0.477
-4.738 4.216 1.259
Si Al La
2 1 1
direct
0.000 0.000 0.066
0.000 0.000 0.434
0.500 0.500 0.250
0.500 0.500 0.750
```

Properties
Energy relative to the elements, uncorrected = -291 meV per atom
Symmetry = P4/mmm



Please write out number 2 again, unchanged.
DFT (GGA-PBE) results for an optimized crystal structure of LaAlSi2.

```
LaAlSi2
1.0
-0.830 0.089 -3.422
-2.250 -2.671 0.477
-4.738 4.216 1.259
Si Al La
2 1 1
direct
0.000 0.000 0.066
0.000 0.000 0.434
0.500 0.500 0.250
0.500 0.500 0.750
```

Properties
Energy relative to the elements, uncorrected = -291 meV per atom
Symmetry = P4/mmm